(1)
{"formula": "BaTb2Al9", "functional": "GGA-PBE", "state": "relaxed", "rho_g_cm3": 4.61, "sg": "R-3m (166)", "ef_mev_per_atom": -326.3, "lattice": [[2.8562, 1.6490, 8.8984], [-2.8562, 1.6490, 8.8984], [0.0000, -3.2980, 8.8984]], "species": ["Ba", "Tb", "Tb", "Al", "Al", "Al", "Al", "Al", "Al", "Al", "Al", "Al"], "fractional_positions": [[0.0000, 0.0000, 0.0000], [0.1415, 0.1415, 0.1415], [0.8585, 0.8585, 0.8585], [0.0775, 0.5898, 0.5898], [0.3361, 0.3361, 0.3361], [0.4102, 0.4102, 0.9225], [0.4102, 0.9225, 0.4102], [0.5000, 0.5000, 0.5000], [0.5898, 0.0775, 0.5898], [0.5898, 0.5898, 0.0775], [0.6639, 0.6639, 0.6639], [0.9225, 0.4102, 0.4102]]}

(2)
{"formula": "NaHo4ScSe8", "functional": "GGA-PBE", "state": "relaxed", "rho_g_cm3": 5.48, "sg": "R3m (160)", "formation_energy_uncorrected_mev_per_atom": -1728, "lattice": [[4.2025, 2.4263, 6.7294], [-4.2025, 2.4263, 6.7294], [0.0000, -4.8527, 6.7294]], "species": ["Na", "Ho", "Ho", "Ho", "Ho", "Sc", "Se", "Se", "Se", "Se", "Se", "Se", "Se", "Se"], "fractional_positions": [[0.0000, 0.0000, 0.0000], [0.3733, 0.3733, 0.8924], [0.3733, 0.8924, 0.3733], [0.7554, 0.7554, 0.7554], [0.8924, 0.3733, 0.3733], [0.3713, 0.3713, 0.3713], [0.1370, 0.1370, 0.1370], [0.1460, 0.1460, 0.5952], [0.1460, 0.5952, 0.1460], [0.1564, 0.6148, 0.6148], [0.5952, 0.1460, 0.1460], [0.6148, 0.1564, 0.6148], [0.6148, 0.6148, 0.1564], [0.6208, 0.6208, 0.6208]]}

(3)
{"formula": "DyNp6S12", "functional": "GGA-PBE", "state": "relaxed", "rho_g_cm3": 7.08, "sg": "R-3 (148)", "formation_energy_uncorrected_mev_per_atom": -1436, "lattice": [[6.0170, 3.4739, 3.6821], [-6.0170, 3.4739, 3.6821], [0.0000, -6.9479, 3.6821]], "species": ["Dy", "Np", "Np", "Np", "Np", "Np", "Np", "S", "S", "S", "S", "S", "S", "S", "S", "S", "S", "S", "S"], "fractional_positions": [[0.0000, 0.0000, 0.0000], [0.1351, 0.6205, 0.3059], [0.3059, 0.1351, 0.6205], [0.3795, 0.6941, 0.8649], [0.6205, 0.3059, 0.1351], [0.6941, 0.8649, 0.3795], [0.8649, 0.3795, 0.6941], [0.0538, 0.6711, 0.9344], [0.0656, 0.9462, 0.3289], [0.1776, 0.4294, 0.5781], [0.3289, 0.0656, 0.9462], [0.4219, 0.8224, 0.5706], [0.4294, 0.5781, 0.1776], [0.5706, 0.4219, 0.8224], [0.5781, 0.1776, 0.4294], [0.6711, 0.9344, 0.0538], [0.8224, 0.5706, 0.4219], [0.9344, 0.0538, 0.6711], [0.9462, 0.3289, 0.0656]]}

(4)
{"formula": "CoP2RuCl", "functional": "GGA-PBE", "state": "relaxed", "rho_g_cm3": 5.08, "sg": "P4/mmm (123)", "formation_energy_uncorrected_mev_per_atom": 819, "e_above_lowest_polymorph_ev_per_fu": 0.000, "lattice": [[4.2619, 0.0000, 0.0000], [0.0000, 4.2619, 0.0000], [0.0000, 0.0000, 4.6337]], "species": ["Co", "P", "P", "Ru", "Cl"], "fractional_positions": [[0.0000, 0.0000, 0.0000], [0.0000, 0.5000, 0.0000], [0.5000, 0.0000, 0.0000], [0.5000, 0.5000, 0.5000], [0.0000, 0.0000, 0.5000]]}

(5)
{"formula": "Ac3CuSn", "functional": "GGA-PBE", "state": "relaxed", "rho_g_cm3": 7.52, "sg": "Pm-3m (221)", "e_above_lowest_polymorph_ev_per_fu": 0.541, "ef_mev_per_atom": -101.9, "lattice": [[5.7553, 0.0000, 0.0000], [0.0000, 5.7553, 0.0000], [0.0000, 0.0000, 5.7553]], "species": ["Ac", "Ac", "Ac", "Cu", "Sn"], "fractional_positions": [[0.0000, 0.0000, 0.5000], [0.0000, 0.5000, 0.0000], [0.5000, 0.0000, 0.0000], [0.0000, 0.0000, 0.0000], [0.5000, 0.5000, 0.5000]]}

(6)
{"formula": "AlCrRh2", "functional": "GGA-PBE", "state": "relaxed", "rho_g_cm3": 8.41, "sg": "Pmm2 (25)", "ef_mev_per_atom": -369.0, "lattice": [[2.8203, 0.0000, 0.0000], [0.0000, 3.7615, 0.0000], [0.0000, 0.0000, 5.2988]], "species": ["Al", "Cr", "Rh", "Rh"], "fractional_positions": [[0.0000, 0.0000, 0.0000], [0.5000, 0.5000, 0.2942], [0.0000, 0.0000, 0.4884], [0.5000, 0.5000, 0.8080]]}

(7)
{"formula": "Fe2Pd3Rh2", "functional": "GGA-PBE", "state": "relaxed", "rho_g_cm3": 10.42, "sg": "Cmmm (65)", "ef_mev_per_atom": 69.8, "lattice": [[3.8804, 0.0000, 0.0000], [0.0000, 19.3826, 0.0000], [0.0000, 0.0000, 2.6988]], "species": ["Fe", "Fe", "Fe", "Fe", "Pd", "Pd", "Pd", "Pd", "Pd", "Pd", "Rh", "Rh", "Rh", "Rh"], "fractional_positions": [[0.0000, 0.1467, 0.0000], [0.0000, 0.8533, 0.0000], [0.5000, 0.3533, 0.0000], [0.5000, 0.6467, 0.0000], [0.0000, 0.0000, 0.0000], [0.0000, 0.4259, 0.5000], [0.0000, 0.5741, 0.5000], [0.5000, 0.0741, 0.5000], [0.5000, 0.5000, 0.0000], [0.5000, 0.9259, 0.5000], [0.0000, 0.2907, 0.5000], [0.0000, 0.7093, 0.5000], [0.5000, 0.2093, 0.5000], [0.5000, 0.7907, 0.5000]]}

(8)
{"formula": "Sm4TlFe", "functional": "GGA-PBE", "state": "relaxed", "rho_g_cm3": 8.57, "sg": "C2/m (12)", "ef_mev_per_atom": -115.0, "lattice": [[8.2947, -3.6335, 0.0000], [8.2947, 3.6335, 0.0000], [-2.0937, 0.0000, 5.5422]], "species": ["Sm", "Sm", "Sm", "Sm", "Sm", "Sm", "Sm", "Sm", "Tl", "Tl", "Fe", "Fe"], "fractional_positions": [[0.1254, 0.6355, 0.3828], [0.2195, 0.7805, 0.0000], [0.3198, 0.3198, 0.8243], [0.3645, 0.8746, 0.6172], [0.6355, 0.1254, 0.3828], [0.6802, 0.6802, 0.1757], [0.7805, 0.2195, 0.0000], [0.8746, 0.3645, 0.6172], [0.1963, 0.1963, 0.1968], [0.8037, 0.8037, 0.8032], [0.4991, 0.4991, 0.3023], [0.5009, 0.5009, 0.6977]]}

(9)
{"formula": "KRbTl2Zn", "functional": "GGA-PBE", "state": "relaxed", "rho_g_cm3": 5.05, "sg": "P4/mmm (123)", "e_above_lowest_polymorph_ev_per_fu": 0.000, "ef_mev_per_atom": 80.0, "lattice": [[5.5773, 0.0000, 0.0000], [0.0000, 5.5773, 0.0000], [0.0000, 0.0000, 6.3335]], "species": ["K", "Rb", "Tl", "Tl", "Zn"], "fractional_positions": [[0.0000, 0.0000, 0.0000], [0.5000, 0.5000, 0.0000], [0.0000, 0.5000, 0.5000], [0.5000, 0.0000, 0.5000], [0.0000, 0.0000, 0.5000]]}

(10)
{"formula": "LiAlRu2", "functional": "GGA-PBE", "state": "relaxed", "rho_g_cm3": 7.20, "sg": "C2/m (12)", "ef_mev_per_atom": -53.8, "lattice": [[5.2931, 0.0000, 0.0000], [0.0000, 8.3019, 0.0000], [-1.0576, 0.0000, 2.4776]], "species": ["Li", "Li", "Al", "Al", "Ru", "Ru", "Ru", "Ru"], "fractional_positions": [[0.0000, 0.0000, 0.0000], [0.5000, 0.5000, 0.0000], [0.0000, 0.5000, 0.0000], [0.5000, 0.0000, 0.0000], [0.2500, 0.2500, 0.5000], [0.2500, 0.7500, 0.5000], [0.7500, 0.2500, 0.5000], [0.7500, 0.7500, 0.5000]]}

(11)
{"formula": "Pr3ThTe4", "functional": "GGA-PBE", "state": "relaxed", "rho_g_cm3": 7.44, "sg": "P6_3/mmc (194)", "formation_energy_uncorrected_mev_per_atom": -1319, "e_above_lowest_polymorph_ev_per_fu": 0.052, "lattice": [[4.3895, 0.0000, 0.0000], [-2.1948, 3.8014, 0.0000], [0.0000, 0.0000, 31.1646]], "species": ["Pr", "Pr", "Pr", "Pr", "Pr", "Pr", "Th", "Th", "Te", "Te", "Te", "Te", "Te", "Te", "Te", "Te"], "fractional_positions": [[0.0000, 0.0000, 0.0000], [0.0000, 0.0000, 0.5000], [0.3333, 0.6667, 0.1242], [0.3333, 0.6667, 0.3758], [0.6667, 0.3333, 0.6242], [0.6667, 0.3333, 0.8758], [0.3333, 0.6667, 0.7500], [0.6667, 0.3333, 0.2500], [0.0000, 0.0000, 0.1874], [0.0000, 0.0000, 0.3126], [0.0000, 0.0000, 0.6874], [0.0000, 0.0000, 0.8126], [0.3333, 0.6667, 0.5623], [0.3333, 0.6667, 0.9377], [0.6667, 0.3333, 0.0623], [0.6667, 0.3333, 0.4377]]}

(12)
{"formula": "In2ReAs", "functional": "GGA-PBE", "state": "relaxed", "rho_g_cm3": 10.43, "sg": "Pmmm (47)", "ef_mev_per_atom": 625.6, "lattice": [[2.9454, 0.0000, 0.0000], [0.0000, 4.1969, 0.0000], [0.0000, 0.0000, 6.3188]], "species": ["In", "In", "Re", "As"], "fractional_positions": [[0.0000, 0.0000, 0.2314], [0.0000, 0.0000, 0.7686], [0.5000, 0.5000, 0.0000], [0.5000, 0.5000, 0.5000]]}

(13)
{"formula": "ErScIn2", "functional": "GGA-PBE", "state": "relaxed", "rho_g_cm3": 7.58, "sg": "Cmmm (65)", "ef_mev_per_atom": -421.5, "lattice": [[6.5677, 0.0000, 0.0000], [0.0000, 8.7490, 0.0000], [0.0000, 0.0000, 3.3671]], "species": ["Er", "Er", "Sc", "Sc", "In", "In", "In", "In"], "fractional_positions": [[0.0000, 0.0000, 0.0000], [0.5000, 0.5000, 0.0000], [0.0000, 0.5000, 0.0000], [0.5000, 0.0000, 0.0000], [0.2500, 0.2500, 0.5000], [0.2500, 0.7500, 0.5000], [0.7500, 0.2500, 0.5000], [0.7500, 0.7500, 0.5000]]}

(14)
{"formula": "TiZn2AgIr", "functional": "GGA-PBE", "state": "relaxed", "rho_g_cm3": 7.42, "sg": "P4/mmm (123)", "ef_mev_per_atom": 299.0, "lattice": [[4.8098, 0.0000, 0.0000], [0.0000, 4.8098, 0.0000], [0.0000, 0.0000, 4.6341]], "species": ["Ti", "Zn", "Zn", "Ag", "Ir"], "fractional_positions": [[0.0000, 0.0000, 0.0000], [0.0000, 0.5000, 0.5000], [0.5000, 0.0000, 0.5000], [0.5000, 0.5000, 0.0000], [0.0000, 0.0000, 0.5000]]}

(15)
{"formula": "Pm3Sm2Tl2", "functional": "GGA-PBE", "state": "relaxed", "rho_g_cm3": 8.70, "sg": "C2/m (12)", "e_above_lowest_polymorph_ev_per_fu": 0.000, "ef_mev_per_atom": -206.6, "lattice": [[9.5838, 0.0000, 0.0000], [0.0000, 5.5368, 0.0000], [-3.2048, 0.0000, 8.2324]], "species": ["Pm", "Pm", "Pm", "Pm", "Pm", "Pm", "Sm", "Sm", "Sm", "Sm", "Tl", "Tl", "Tl", "Tl"], "fractional_positions": [[0.0000, 0.0000, 0.0000], [0.1548, 0.0000, 0.4643], [0.3452, 0.5000, 0.5357], [0.5000, 0.5000, 0.0000], [0.6548, 0.5000, 0.4643], [0.8452, 0.0000, 0.5357], [0.0764, 0.5000, 0.7290], [0.4236, 0.0000, 0.2710], [0.5764, 0.0000, 0.7290], [0.9236, 0.5000, 0.2710], [0.2162, 0.5000, 0.1487], [0.2838, 0.0000, 0.8513], [0.7162, 0.0000, 0.1487], [0.7838, 0.5000, 0.8513]]}

(16)
{"formula": "AcEuInCu", "functional": "GGA-PBE", "state": "relaxed", "rho_g_cm3": 7.73, "sg": "F-43m (216)", "ef_mev_per_atom": -227.3, "lattice": [[7.8247, 0.0000, 0.0000], [0.0000, 7.8247, 0.0000], [0.0000, 0.0000, 7.8247]], "species": ["Ac", "Ac", "Ac", "Ac", "Eu", "Eu", "Eu", "Eu", "In", "In", "In", "In", "Cu", "Cu", "Cu", "Cu"], "fractional_positions": [[0.0000, 0.0000, 0.0000], [0.0000, 0.5000, 0.5000], [0.5000, 0.0000, 0.5000], [0.5000, 0.5000, 0.0000], [0.0000, 0.0000, 0.5000], [0.0000, 0.5000, 0.0000], [0.5000, 0.0000, 0.0000], [0.5000, 0.5000, 0.5000], [0.2500, 0.2500, 0.7500], [0.2500, 0.7500, 0.2500], [0.7500, 0.2500, 0.2500], [0.7500, 0.7500, 0.7500], [0.2500, 0.2500, 0.2500], [0.2500, 0.7500, 0.7500], [0.7500, 0.2500, 0.7500], [0.7500, 0.7500, 0.2500]]}

(17)
{"formula": "B2N", "functional": "GGA-PBE", "state": "relaxed", "rho_g_cm3": 2.70, "sg": "P1 (1)", "formation_energy_uncorrected_mev_per_atom": -270, "e_above_lowest_polymorph_ev_per_fu": 1.010, "lattice": [[3.4410, 0.0000, 0.0000], [-1.4294, 3.4485, 0.0000], [-0.4434, -0.3793, 3.6900]], "species": ["B", "B", "B", "B", "N", "N"], "fractional_positions": [[0.0000, 0.0000, 0.0000], [0.0268, 0.6531, 0.6450], [0.5079, 0.3443, 0.0458], [0.5694, 0.8504, 0.5888], [0.7525, 0.7228, 0.2790], [0.7630, 0.2564, 0.7852]]}

(18)
{"formula": "Nd2Y4Tl3H2", "functional": "GGA-PBE", "state": "relaxed", "rho_g_cm3": 7.30, "sg": "I4/mmm (139)", "total_energy_ev_per_atom": -4.80, "lattice": [[-2.4076, 2.4076, 12.3556], [2.4076, -2.4076, 12.3556], [2.4076, 2.4076, -12.3556]], "species": ["Nd", "Nd", "Y", "Y", "Y", "Y", "Tl", "Tl", "Tl", "H", "H"], "fractional_positions": [[0.1971, 0.1971, 0.0000], [0.8029, 0.8029, 0.0000], [0.0823, 0.5823, 0.5000], [0.4177, 0.9177, 0.5000], [0.5823, 0.0823, 0.5000], [0.9177, 0.4177, 0.5000], [0.3293, 0.3293, 0.0000], [0.5000, 0.5000, 0.0000], [0.6707, 0.6707, 0.0000], [0.0982, 0.0982, 0.0000], [0.9018, 0.9018, 0.0000]]}

(19)
{"formula": "Mg3Ge3Pt2", "functional": "GGA-PBE", "state": "relaxed", "rho_g_cm3": 7.68, "sg": "Pnma (62)", "ef_mev_per_atom": -483.9, "lattice": [[6.8038, 0.0000, 0.0000], [0.0000, 16.3427, 0.0000], [0.0000, 0.0000, 5.2983]], "species": ["Mg", "Mg", "Mg", "Mg", "Mg", "Mg", "Mg", "Mg", "Mg", "Mg", "Mg", "Mg", "Ge", "Ge", "Ge", "Ge", "Ge", "Ge", "Ge", "Ge", "Ge", "Ge", "Ge", "Ge", "Pt", "Pt", "Pt", "Pt", "Pt", "Pt", "Pt", "Pt"], "fractional_positions": [[0.0124, 0.1195, 0.0860], [0.0124, 0.3805, 0.0860], [0.1767, 0.2500, 0.6599], [0.3233, 0.7500, 0.1599], [0.4876, 0.6195, 0.5860], [0.4876, 0.8805, 0.5860], [0.5124, 0.1195, 0.4140], [0.5124, 0.3805, 0.4140], [0.6767, 0.2500, 0.8401], [0.8233, 0.7500, 0.3401], [0.9876, 0.6195, 0.9140], [0.9876, 0.8805, 0.9140], [0.1713, 0.7500, 0.6661], [0.1866, 0.0239, 0.6344], [0.1866, 0.4761, 0.6344], [0.3134, 0.5239, 0.1344], [0.3134, 0.9761, 0.1344], [0.3287, 0.2500, 0.1661], [0.6713, 0.7500, 0.8339], [0.6866, 0.0239, 0.8656], [0.6866, 0.4761, 0.8656], [0.8134, 0.5239, 0.3656], [0.8134, 0.9761, 0.3656], [0.8287, 0.2500, 0.3339], [0.1069, 0.6211, 0.4204], [0.1069, 0.8789, 0.4204], [0.3931, 0.1211, 0.9204], [0.3931, 0.3789, 0.9204], [0.6069, 0.6211, 0.0796], [0.6069, 0.8789, 0.0796], [0.8931, 0.1211, 0.5796], [0.8931, 0.3789, 0.5796]]}

(20)
{"formula": "LaHg2Sb", "functional": "GGA-PBE", "state": "relaxed", "rho_g_cm3": 9.79, "sg": "C2/m (12)", "formation_energy_uncorrected_mev_per_atom": -540, "lattice": [[11.0566, 0.0000, 0.0000], [0.0000, 4.4828, 0.0000], [-1.4682, 0.0000, 4.5282]], "species": ["La", "La", "Hg", "Hg", "Hg", "Hg", "Sb", "Sb"], "fractional_positions": [[0.0000, 0.0000, 0.0000], [0.5000, 0.5000, 0.0000], [0.2482, 0.0000, 0.7407], [0.2518, 0.5000, 0.2593], [0.7482, 0.5000, 0.7407], [0.7518, 0.0000, 0.2593], [0.0000, 0.5000, 0.5000], [0.5000, 0.0000, 0.5000]]}

(21)
{"formula": "Ce3Ir7Rh2", "functional": "GGA-PBE", "state": "relaxed", "rho_g_cm3": 15.14, "sg": "R-3m (166)", "ef_mev_per_atom": -627.0, "lattice": [[2.6560, 1.5334, 8.8479], [-2.6560, 1.5334, 8.8479], [0.0000, -3.0668, 8.8479]], "species": ["Ce", "Ce", "Ce", "Ir", "Ir", "Ir", "Ir", "Ir", "Ir", "Ir", "Rh", "Rh"], "fractional_positions": [[0.0000, 0.0000, 0.0000], [0.1390, 0.1390, 0.1390], [0.8610, 0.8610, 0.8610], [0.0811, 0.5839, 0.5839], [0.4161, 0.4161, 0.9189], [0.4161, 0.9189, 0.4161], [0.5000, 0.5000, 0.5000], [0.5839, 0.0811, 0.5839], [0.5839, 0.5839, 0.0811], [0.9189, 0.4161, 0.4161], [0.3334, 0.3334, 0.3334], [0.6666, 0.6666, 0.6666]]}

(22)
{"formula": "DyHf2Ir3", "functional": "GGA-PBE", "state": "relaxed", "rho_g_cm3": 16.30, "sg": "P4/mmm (123)", "ef_mev_per_atom": -904.9, "lattice": [[3.2698, 0.0000, 0.0000], [0.0000, 3.2698, 0.0000], [0.0000, 0.0000, 10.4437]], "species": ["Dy", "Hf", "Hf", "Ir", "Ir", "Ir"], "fractional_positions": [[0.0000, 0.0000, 0.0000], [0.0000, 0.0000, 0.3394], [0.0000, 0.0000, 0.6606], [0.5000, 0.5000, 0.1949], [0.5000, 0.5000, 0.5000], [0.5000, 0.5000, 0.8051]]}

(23)
{"formula": "TaCrIn2", "functional": "GGA-PBE", "state": "relaxed", "rho_g_cm3": 10.16, "sg": "I4/mmm (139)", "e_above_lowest_polymorph_ev_per_fu": 0.439, "ef_mev_per_atom": 408.0, "lattice": [[4.1617, 0.0000, 0.0000], [0.0000, 4.1617, 0.0000], [0.0000, 0.0000, 8.7342]], "species": ["Ta", "Ta", "Cr", "Cr", "In", "In", "In", "In"], "fractional_positions": [[0.0000, 0.0000, 0.0000], [0.5000, 0.5000, 0.5000], [0.0000, 0.0000, 0.5000], [0.5000, 0.5000, 0.0000], [0.0000, 0.5000, 0.2500], [0.0000, 0.5000, 0.7500], [0.5000, 0.0000, 0.2500], [0.5000, 0.0000, 0.7500]]}

For each record above, in turn, the calculated magnetization values are 0.00, 0.00, 21.00, 1.64, 0.00, 2.57, 13.60, 0.70, 0.00, 0.00, 0.00, 0.00, 1.08, 0.00, 0.00, 27.98, 0.00, 0.00, 0.00, 0.00, 0.00, 0.00, 4.73 μB/cell.